26
Lattice="-3.506 3.506 4.695 3.506 -3.506 4.695 3.506 3.506 -4.695" Properties=species:S:1:pos:R:3 comment="CrH14N3O8 (PBE with a Hubbard U, relaxed)" energy_ev_per_cell=-129.68 m_tot_mub_per_cell=2.96 pbc="T T T"
Cr 0.000 0.000 0.000
H 4.323 -0.302 1.768
H 3.204 -0.817 2.927
H 2.690 0.302 1.768
H 1.166 -1.166 4.645
H 2.340 2.340 0.049
H 0.000 0.000 3.694
H 3.808 0.817 2.927
H 0.302 2.690 1.768
H 0.000 0.000 5.695
H -1.166 1.166 4.645
H 1.166 1.166 4.744
H -0.817 3.204 2.927
H -0.302 4.323 1.768
H 0.817 3.808 2.927
N 3.506 0.000 2.347
N 0.000 0.000 4.695
N 0.000 3.506 2.347
O 2.379 -2.379 3.508
O 1.616 1.616 -0.130
O 1.890 -1.890 4.825
O 1.128 1.128 1.187
O -2.379 2.379 3.508
O 1.890 1.890 4.564
O -1.890 1.890 4.825
O 2.379 2.379 5.881